## Ac2TbAg3Hg12 (PBE-GGA)

Data for crystalline Ac2TbAg3Hg12 at its relaxed geometry.

Calculated values
SG: R-3m (166)
Size of the total moment (Bohr magnetons per cell): 0.00

Cell lengths 12.896, 12.896, 12.896 Å; angles 31.24, 31.24, 31.24 degrees
Positions (direct):
Ac 0.635 0.635 0.635
Ag 0.000 0.000 0.500
Hg 0.875 0.875 0.414
Tb 0.000 0.000 0.000
Hg 0.414 0.875 0.875
Hg 0.875 0.414 0.875
Hg 0.154 0.596 0.596
Ag 0.000 0.500 0.000
Hg 0.404 0.846 0.404
Hg 0.125 0.586 0.125
Hg 0.125 0.125 0.586
Hg 0.404 0.404 0.846
Ac 0.365 0.365 0.365
Hg 0.596 0.154 0.596
Hg 0.596 0.596 0.154
Hg 0.846 0.404 0.404
Ag 0.500 0.000 0.000
Hg 0.586 0.125 0.125

---

## AcTbAg2Hg4 (PBE-GGA)

Data for crystalline AcTbAg2Hg4 at its relaxed geometry.

Calculated values
SG: R-3m (166)
Size of the total moment (Bohr magnetons per cell): 0.00

Cell lengths 5.012, 5.012, 9.609 Å; angles 74.88, 74.88, 60.00 degrees
Positions (direct):
Ac 0.000 0.000 0.000
Hg 0.612 0.612 0.164
Tb 0.500 0.500 0.500
Hg 0.388 0.388 0.836
Hg 0.876 0.876 0.373
Ag 0.763 0.763 0.711
Ag 0.237 0.237 0.289
Hg 0.124 0.124 0.627

---

## AcTbAgHg (PBE-GGA)

Data for crystalline AcTbAgHg at its relaxed geometry.

Calculated values
Polymorph energy (0 for the lowest one) (meV per atom): 0
SG: P4mm (99)
Size of the total moment (Bohr magnetons per cell): 0.00

Cell lengths 3.820, 3.820, 7.793 Å; angles 90.00, 90.00, 90.00 degrees
Positions (direct):
Ac 0.500 0.500 0.111
Hg 0.000 0.000 0.825
Tb 0.500 0.500 0.600
Ag 0.000 0.000 0.392

---

| no. | VASP energy (eV for the cell shown) | ΔE_f (meV per atom) |
| --- | --- | --- |
| 1 | -26.6 | -85 |
| 2 | -18.2 | -324 |
| 3 | -13.4 | -369 |